VASP calculation (PBE) on crystalline NdGa2Ru at its relaxed geometry.

Properties
DFT formation energy: -0.488 eV per atom
Spin magnetization: 0.00 μB/f.u.
Fermi-level density of states: 0.643 states/eV per atom

Unit cell a=4.2584 b=4.2584 c=15.5595 alpha=90.00 beta=90.00 gamma=120.00
Space group R-3m (No. 166, hexagonal axes)
Unique sites:
Nd1 0.0000 0.0000 0.0000 (multiplicity 3)
Ga1 0.0000 0.0000 0.2126 (multiplicity 6)
Ru1 0.0000 0.0000 0.5000 (multiplicity 3)



VASP calculation (PBE) on crystalline BaScS2N at its relaxed geometry.

Properties
Uncorrected formation energy: 3.29 eV per formula unit
Distance to the lowest polymorph of the same formula: 1.784 eV/atom
Spin magnetization: 0.00 μB/f.u.
Fermi-level density of states: 1.156 states/eV per atom

Unit cell a=5.572 b=5.572 c=4.311 alpha=90.00 beta=90.00 gamma=90.00
Space group P4/mmm (No. 123)
Unique sites:
Ba1 0.000 0.000 0.000 (multiplicity 1)
Sc1 0.500 0.500 0.500 (multiplicity 1)
S1 0.000 0.500 0.000 (multiplicity 2)
N1 0.000 0.000 0.500 (multiplicity 1)



VASP calculation (PBE) on crystalline GeAuSe4 at its relaxed geometry.

Properties
Uncorrected formation energy: 0.05 eV per formula unit
Spin magnetization: 0.00 μB/f.u.
Fermi-level density of states: 0.666 states/eV per atom

Unit cell a=7.301 b=13.457 c=6.595 alpha=90.00 beta=114.61 gamma=90.00
Space group C2/c (No. 15)
Unique sites:
Ge1 0.000 0.066 0.250 (multiplicity 4)
Au1 0.000 0.438 0.750 (multiplicity 4)
Se1 0.229 0.066 0.690 (multiplicity 8)
Se2 0.237 0.192 0.203 (multiplicity 8)